(1)
CeDyHoIn GGA-PBE optimized geometry; formation enthalpy at 0 K = -71 meV per atom; SG = F-43m (216); magnetic moment = 0.18 μB/cell
1.0
7.615 0.000 0.000
0.000 7.615 0.000
0.000 0.000 7.615
Ce Dy Ho In
4 4 4 4
Cartesian
0.000 0.000 0.000 Ce
0.000 3.808 3.808 Ce
3.808 0.000 3.808 Ce
3.808 3.808 0.000 Ce
1.904 1.904 5.712 Dy
1.904 5.712 1.904 Dy
5.712 1.904 1.904 Dy
5.712 5.712 5.712 Dy
1.904 1.904 1.904 Ho
1.904 5.712 5.712 Ho
5.712 1.904 5.712 Ho
5.712 5.712 1.904 Ho
0.000 0.000 3.808 In
0.000 3.808 0.000 In
3.808 0.000 0.000 In
3.808 3.808 3.808 In

---

(2)
CeDy2HoIn4 GGA-PBE optimized geometry; formation enthalpy at 0 K = -426 meV per atom; SG = R-3m (166); magnetic moment = 0.94 μB/cell
1.0
2.671 1.542 8.781
-2.671 1.542 8.781
0.000 -3.084 8.781
Ce Dy Ho In
1 2 1 4
Cartesian
0.000 0.000 0.000 Ce
0.000 0.000 6.572 Dy
0.000 0.000 19.770 Dy
0.000 0.000 13.171 Ho
0.000 0.000 3.330 In
0.000 0.000 9.921 In
0.000 0.000 16.421 In
0.000 0.000 23.012 In

---

(3)
La2CeDy3Ho6 GGA-PBE optimized geometry; formation enthalpy at 0 K = 40 meV per atom; SG = C2/m (12); magnetic moment = 1.02 μB/cell
1.0
3.091 -5.356 0.000
3.091 5.356 0.000
-2.062 0.000 11.596
La Ce Dy Ho
2 1 3 6
Cartesian
3.091 3.573 0.000 La
3.091 -3.573 0.000 La
3.091 0.000 0.000 Ce
-1.031 0.000 5.798 Dy
2.060 1.788 5.798 Dy
2.060 -1.788 5.798 Dy
0.009 1.769 8.659 Ho
1.047 0.000 2.940 Ho
0.009 -1.769 8.659 Ho
4.110 1.769 2.936 Ho
3.073 0.000 8.656 Ho
4.110 -1.769 2.936 Ho

---

(4)
LaCe2Dy3Ho6 GGA-PBE optimized geometry; formation enthalpy at 0 K = 50 meV per atom; SG = C2/m (12); magnetic moment = 1.80 μB/cell
1.0
3.068 -5.315 0.000
3.068 5.315 0.000
-2.047 0.000 11.543
La Ce Dy Ho
1 2 3 6
Cartesian
0.000 0.000 0.000 La
3.068 1.772 0.000 Ce
3.068 -1.772 0.000 Ce
2.045 3.546 5.772 Dy
2.045 0.000 5.772 Dy
2.045 -3.546 5.772 Dy
1.035 1.789 2.896 Ho
0.016 0.000 8.648 Ho
1.035 -1.789 2.896 Ho
3.054 1.789 8.647 Ho
4.073 0.000 2.895 Ho
3.054 -1.789 8.647 Ho

---

(5)
Ce3Dy2HoN6 GGA-PBE optimized geometry; SG = C2/m (12); total energy = -100.73 eV per cell; magnetic moment = 0.81 μB/cell
1.0
3.045 -5.273 0.000
3.045 5.273 0.000
-2.031 0.000 5.748
Ce Dy Ho N
3 2 1 6
Cartesian
0.000 0.000 0.000 Ce
3.045 1.758 0.000 Ce
3.045 -1.758 0.000 Ce
2.030 3.516 2.874 Dy
2.030 -3.516 2.874 Dy
2.030 0.000 2.874 Ho
1.019 1.751 1.451 N
0.008 0.000 4.298 N
1.019 -1.751 1.451 N
3.041 1.751 4.297 N
4.052 0.000 1.450 N
3.041 -1.751 4.297 N

---

(6)
CeNdDy2Ho5 GGA-PBE optimized geometry; formation enthalpy at 0 K = 175 meV per atom; SG = Cmc2_1 (36); magnetic moment = 1.59 μB/cell
1.0
2.842 -10.724 0.000
2.842 10.724 0.000
0.000 0.000 9.569
Ce Nd Dy Ho
2 2 4 10
Cartesian
2.842 6.531 4.785 Ce
2.842 -6.531 0.000 Ce
2.842 2.076 8.617 Nd
2.842 -2.076 3.832 Nd
2.842 8.301 7.647 Dy
2.842 7.763 1.728 Dy
2.842 -7.763 6.513 Dy
2.842 -8.301 2.862 Dy
2.842 10.454 4.714 Ho
2.842 5.021 7.774 Ho
2.842 4.135 1.861 Ho
2.842 2.271 4.949 Ho
2.842 0.614 2.129 Ho
2.842 -0.614 6.914 Ho
2.842 -2.271 0.165 Ho
2.842 -4.135 6.646 Ho
2.842 -5.021 2.990 Ho
2.842 -10.454 9.498 Ho

---

(7)
Ce2NdDy3Ho6 GGA-PBE optimized geometry; formation enthalpy at 0 K = 49 meV per atom; SG = C2/m (12); magnetic moment = 1.82 μB/cell
1.0
3.066 -5.311 0.000
3.066 5.311 0.000
-2.044 0.000 11.530
Ce Nd Dy Ho
2 1 3 6
Cartesian
3.066 3.540 0.000 Ce
3.066 -3.540 0.000 Ce
3.066 0.000 0.000 Nd
-1.022 0.000 5.765 Dy
2.044 1.766 5.765 Dy
2.044 -1.766 5.765 Dy
-0.011 1.785 8.645 Ho
1.007 0.000 2.884 Ho
-0.011 -1.785 8.645 Ho
4.098 1.785 2.885 Ho
3.081 0.000 8.646 Ho
4.098 -1.785 2.885 Ho

---

(8)
CeNd6DyHo2 GGA-PBE optimized geometry; formation enthalpy at 0 K = 238 meV per atom; SG = C2/m (12); magnetic moment = 1.20 μB/cell
1.0
5.648 -3.534 0.000
5.648 3.534 0.000
-2.052 0.000 8.624
Ce Nd Dy Ho
1 6 1 2
Cartesian
0.000 0.000 0.000 Ce
3.294 1.650 1.749 Nd
0.577 0.000 3.606 Nd
5.950 1.650 6.875 Nd
3.294 -1.650 1.749 Nd
8.667 0.000 5.018 Nd
5.950 -1.650 6.875 Nd
4.622 0.000 4.312 Dy
2.897 0.000 7.218 Ho
6.347 0.000 1.407 Ho

---

(9)
Ce2Nd3Dy6Ho GGA-PBE optimized geometry; formation enthalpy at 0 K = 45 meV per atom; SG = C2/m (12); magnetic moment = 1.94 μB/cell
1.0
3.095 -5.360 0.000
3.095 5.360 0.000
-2.062 0.000 11.601
Ce Nd Dy Ho
2 3 6 1
Cartesian
3.095 3.576 0.000 Ce
3.095 -3.576 0.000 Ce
-1.031 0.000 5.800 Nd
2.064 1.780 5.800 Nd
2.064 -1.780 5.800 Nd
-0.007 1.798 8.753 Dy
1.021 0.000 2.850 Dy
-0.007 -1.798 8.753 Dy
4.136 1.798 2.848 Dy
3.108 0.000 8.751 Dy
4.136 -1.798 2.848 Dy
3.095 0.000 0.000 Ho

---

(10)
CeNd3Dy6Ho2 GGA-PBE optimized geometry; formation enthalpy at 0 K = 35 meV per atom; SG = C2/m (12); magnetic moment = 1.17 μB/cell
1.0
3.099 -5.367 0.000
3.099 5.367 0.000
-2.063 0.000 11.640
Ce Nd Dy Ho
1 3 6 2
Cartesian
0.000 0.000 0.000 Ce
2.068 3.569 5.820 Nd
2.068 0.000 5.820 Nd
2.068 -3.569 5.820 Nd
1.029 1.778 2.865 Dy
-0.010 0.000 8.773 Dy
1.029 -1.778 2.865 Dy
3.107 1.778 8.775 Dy
4.146 0.000 2.867 Dy
3.107 -1.778 8.775 Dy
3.099 1.789 0.000 Ho
3.099 -1.789 0.000 Ho

---

(11)
CeNdDyHo GGA-PBE optimized geometry; formation enthalpy at 0 K = 167 meV per atom; SG = F-43m (216); magnetic moment = 3.40 μB/cell
1.0
8.042 0.000 0.000
0.000 8.042 0.000
0.000 0.000 8.042
Ce Nd Dy Ho
4 4 4 4
Cartesian
0.000 0.000 0.000 Ce
0.000 4.021 4.021 Ce
4.021 0.000 4.021 Ce
4.021 4.021 0.000 Ce
0.000 0.000 4.021 Nd
0.000 4.021 0.000 Nd
4.021 0.000 0.000 Nd
4.021 4.021 4.021 Nd
2.011 2.011 6.032 Dy
2.011 6.032 2.011 Dy
6.032 2.011 2.011 Dy
6.032 6.032 6.032 Dy
2.011 2.011 2.011 Ho
2.011 6.032 6.032 Ho
6.032 2.011 6.032 Ho
6.032 6.032 2.011 Ho

---

(12)
CeNd2Dy2Ho2 GGA-PBE optimized geometry; formation enthalpy at 0 K = 146 meV per atom; SG = C2/m (12); magnetic moment = 2.30 μB/cell
1.0
17.295 0.000 0.000
0.000 3.453 0.000
-4.403 0.000 7.683
Ce Nd Dy Ho
2 4 4 4
Cartesian
0.000 0.000 0.000 Ce
8.647 1.727 0.000 Ce
0.647 1.727 3.433 Nd
3.597 0.000 4.250 Nd
9.295 0.000 3.433 Nd
12.244 1.727 4.250 Nd
3.244 1.727 1.122 Dy
1.001 0.000 6.560 Dy
11.891 0.000 1.122 Dy
9.648 1.727 6.560 Dy
-1.995 1.727 5.597 Ho
6.239 0.000 2.086 Ho
6.653 0.000 5.597 Ho
14.886 1.727 2.086 Ho